! SnAu3O GGA-PBE relaxed; values from VASP
&SYSTEM
  ibrav = 0, nat = 5, ntyp = 3
/
ATOMIC_SPECIES
Sn 118.71 Sn.upf
Au 196.97 Au.upf
O 16.00 O.upf
ATOMIC_POSITIONS angstrom
Sn 0.0000 0.0000 0.0000
Au 0.0000 0.0000 2.6039
Au 0.0000 2.6039 0.0000
Au 2.6039 0.0000 0.0000
O 2.6039 2.6039 2.6039
CELL_PARAMETERS angstrom
5.2079 0.0000 0.0000
0.0000 5.2079 0.0000
0.0000 0.0000 5.2079
! Formation energy (no corrections): 1125 meV per atom
! Density of states at the Fermi level: 16.4 states/eV per cell
! ΔE to the lowest computed polymorph: 836 meV/atom